(1)
Entry from Alexandria: a relaxed Ba2PF crystal (PBE).

Structure (POSCAR):
```
Ba2PF
1.0
0.000 3.797 3.797
3.797 0.000 3.797
3.797 3.797 0.000
Ba P F
2 1 1
direct
0.250 0.250 0.250
0.750 0.750 0.750
0.000 0.000 0.000
0.500 0.500 0.500
```

Computed properties:
polymorph energy (0 for the lowest one): 157 meV/atom
E_form (uncorrected): -1.849 eV/atom
crystal system: cubic
SG: Fm-3m
N(E_F): 0.000 states/eV/atom
energy: -4.631 eV/atom

***

(2)
Entry from Alexandria: a relaxed BaP2F crystal (PBE).

Structure (POSCAR):
```
BaP2F
1.0
-1.873 1.873 12.441
1.873 -1.873 12.441
1.873 1.873 -12.441
Ba P F
2 4 2
direct
0.000 0.000 0.000
0.750 0.250 0.500
0.199 0.125 0.574
0.375 0.801 0.926
0.551 0.625 0.426
0.875 0.449 0.074
0.250 0.750 0.500
0.500 0.500 0.000
```

Computed properties:
polymorph energy (0 for the lowest one): 0 meV/atom
E_form (uncorrected): -1.459 eV/atom
crystal system: tetragonal
SG: I-42d
N(E_F): 0.385 states/eV/atom
energy: -5.112 eV/atom

***

(3)
Entry from Alexandria: a relaxed BaPF crystal (PBE).

Structure (POSCAR):
```
BaPF
1.0
2.235 -7.532 0.000
2.235 7.532 0.000
-0.009 0.000 4.118
Ba P F
2 2 2
direct
0.145 0.855 0.750
0.855 0.145 0.250
0.465 0.535 0.750
0.535 0.465 0.250
0.256 0.744 0.250
0.744 0.256 0.750
```

Computed properties:
E_form (uncorrected): -2.301 eV/atom
crystal system: monoclinic
SG: C2/c
N(E_F): 0.300 states/eV/atom
energy: -5.369 eV/atom

***

(4)
Entry from Alexandria: a relaxed BaPPbF2 crystal (PBE).

Structure (POSCAR):
```
BaPPbF2
1.0
4.747 0.000 0.000
0.000 4.747 0.000
0.000 0.000 9.682
Ba P Pb F
1 1 1 2
direct
0.000 0.000 0.000
0.500 0.500 0.500
0.000 0.000 0.500
0.000 0.500 0.000
0.500 0.000 0.000
```

Computed properties:
E_form (uncorrected): -1.438 eV/atom
crystal system: tetragonal
SG: P4/mmm
N(E_F): 0.243 states/eV/atom
energy: -4.395 eV/atom

***

(5)
Entry from Alexandria: a relaxed RbBaPF2 crystal (PBE).

Structure (POSCAR):
```
RbBaPF2
1.0
4.895 0.000 0.000
0.000 4.895 0.000
0.000 0.000 6.904
Rb Ba P F
1 1 1 2
direct
0.000 0.000 0.000
0.000 0.000 0.500
0.500 0.500 0.500
0.000 0.500 0.000
0.500 0.000 0.000
```

Computed properties:
E_form (uncorrected): -1.107 eV/atom
crystal system: tetragonal
SG: P4/mmm
N(E_F): 1.067 states/eV/atom
energy: -3.516 eV/atom

***

(6)
Entry from Alexandria: a relaxed Rb2BaPF6 crystal (PBE).

Structure (POSCAR):
```
Rb2BaPF6
1.0
-3.171 3.171 5.953
3.171 -3.171 5.953
3.171 3.171 -5.953
Rb Ba P F
2 1 1 6
direct
0.250 0.750 0.500
0.750 0.250 0.500
0.000 0.000 0.000
0.500 0.500 0.000
0.213 0.213 0.000
0.284 0.284 0.569
0.284 0.716 0.000
0.716 0.284 0.000
0.716 0.716 0.431
0.787 0.787 0.000
```

Computed properties:
E_form (uncorrected): -2.560 eV/atom
crystal system: tetragonal
SG: I4/mmm
N(E_F): 0.000 states/eV/atom
energy: -4.610 eV/atom

***

(7)
Entry from Alexandria: a relaxed BaReP2F crystal (PBE).

Structure (POSCAR):
```
BaReP2F
1.0
4.610 0.000 0.000
0.000 4.610 0.000
0.000 0.000 4.947
Ba Re P F
1 1 2 1
direct
0.000 0.000 0.000
0.500 0.500 0.500
0.000 0.500 0.500
0.500 0.000 0.500
0.500 0.500 0.000
```

Computed properties:
E_form (uncorrected): -0.808 eV/atom
crystal system: tetragonal
SG: P4/mmm
N(E_F): 0.521 states/eV/atom
energy: -6.221 eV/atom

***

(8)
Entry from Alexandria: a relaxed BaPRuF crystal (PBE).

Structure (POSCAR):
```
BaPRuF
1.0
4.129 0.000 0.000
0.000 4.129 0.000
0.000 0.000 9.405
Ba P Ru F
2 2 2 2
direct
0.250 0.250 0.175
0.750 0.750 0.825
0.250 0.250 0.620
0.750 0.750 0.380
0.250 0.750 0.500
0.750 0.250 0.500
0.250 0.750 0.000
0.750 0.250 0.000
```

Computed properties:
E_form (uncorrected): -2.017 eV/atom
crystal system: tetragonal
SG: P4/nmm
N(E_F): 0.468 states/eV/atom
energy: -6.637 eV/atom